FeAg2F8 after structural relaxation. Source: Alexandria, functional PBE with a Hubbard U.

abc: 6.5533 6.5533 4.2296
angles: 90.00 90.00 120.00
Closest atoms and distances in Å follow each position.
Space group P-3 (No. 147)
One atom of each set of equivalent atoms:
Fe 0.0000 0.0000 0.0000 (multiplicity 1)  6 F 1.91
Ag 0.3333 0.6667 0.7587 (multiplicity 2)  5 F 2.11-2.18
F 0.1406 0.2834 0.7573 (multiplicity 6)  1 Fe 1.91
F 0.3333 0.6667 0.2590 (multiplicity 2)  2 Ag 2.11-2.12

Summary:
volume: 157.3 Å³/cell
E: -3.829 eV per atom